Here is a relaxed structure of DyBe6Pd6 from Alexandria via LeMat-Bulk. Energies are from PBE.

Geometry as extended XYZ:
```
13
Lattice="4.545 0.000 1.817 2.236 5.812 1.001 0.115 -0.040 6.306" Properties=species:S:1:pos:R:3 pbc="T T T"
Dy 0.000 0.000 0.000
Be 1.118 2.906 0.500
Be 3.390 2.906 1.409
Be 0.057 -0.020 3.153
Be 2.330 -0.020 4.061
Be 3.988 4.377 3.210
Be 2.907 1.395 5.913
Pd 3.096 3.812 5.442
Pd 3.799 1.961 3.682
Pd 0.829 1.930 4.520
Pd 1.522 3.842 2.787
Pd 1.878 1.037 1.894
Pd 5.017 4.736 7.229
```

Properties
- symmetry = No. 71
- formation energy from the elements (eV per atom) = -0.533


Here is a relaxed structure of DyBePd2 from Alexandria via LeMat-Bulk. Energies are from PBE.

Geometry as extended XYZ:
```
8
Lattice="3.908 0.000 0.000 0.000 3.984 -0.972 0.000 0.045 8.833" Properties=species:S:1:pos:R:3 pbc="T T T"
Dy 0.000 3.440 5.447
Dy 0.000 0.589 2.413
Be 1.954 2.277 0.681
Be 1.954 1.753 7.180
Pd 0.000 1.992 -0.486
Pd 1.954 0.000 0.000
Pd 1.954 2.805 2.843
Pd 1.954 1.225 5.017
```

Properties
- symmetry = No. 65
- energy above the most stable polymorph in this dataset (eV/f.u.) = 0.00
- formation energy from the elements (eV per atom) = -0.736


Here is a relaxed structure of DyBe9Pd2 from Alexandria via LeMat-Bulk. Energies are from PBE.

Geometry as extended XYZ:
```
24
Lattice="-1.000 -0.709 -4.343 1.415 -3.423 2.577 -13.634 -2.915 3.615" Properties=species:S:1:pos:R:3 pbc="T T T"
Dy -9.615 -4.705 2.982
Dy -3.603 -2.342 -1.132
Be 0.000 0.000 0.000
Be -6.817 -1.458 1.808
Be -3.408 -0.729 0.904
Be -10.225 -2.187 2.711
Be -2.798 -3.247 1.174
Be -10.420 -3.800 0.675
Be -1.313 -1.614 0.566
Be -1.107 -3.666 -0.311
Be -0.610 -3.314 1.846
Be -8.329 -4.669 0.335
Be -8.535 -2.616 1.212
Be -9.032 -2.968 -0.945
Be -12.112 -3.381 2.161
Be -11.906 -5.433 1.284
Be -12.609 -3.733 0.004
Be -4.684 -4.431 0.637
Be -4.890 -2.379 1.514
Be -4.187 -4.079 2.794
Pd -6.773 -4.097 2.228
Pd -0.761 -1.735 -1.886
Pd -6.446 -2.950 -0.379
Pd -12.457 -5.313 3.735
```

Properties
- symmetry = No. 194
- formation energy from the elements (eV per atom) = -0.298


Here is a relaxed structure of Dy3Be2Pd5 from Alexandria via LeMat-Bulk. Energies are from PBE.

Geometry as extended XYZ:
```
20
Lattice="-0.802 1.891 2.971 5.225 -6.304 5.422 8.024 5.502 -1.336" Properties=species:S:1:pos:R:3 pbc="T T T"
Dy 8.287 2.492 0.651
Dy 4.962 -3.294 3.436
Dy 3.516 0.657 0.531
Dy 9.733 -1.460 3.556
Dy 0.000 0.000 0.000
Dy 6.624 -0.401 2.043
Be 5.537 2.659 -0.198
Be 7.712 -3.461 4.284
Be 2.935 -1.793 1.933
Be 10.314 0.991 2.153
Pd 1.337 -0.080 2.607
Pd 11.110 1.168 4.450
Pd 6.255 -3.680 6.225
Pd 6.193 4.768 0.833
Pd 5.618 2.347 2.219
Pd 6.829 -1.258 4.839
Pd 8.392 1.333 3.612
Pd 4.055 -0.244 3.445
Pd 3.611 3.696 0.818
Pd 2.212 -2.207 4.197
```

Properties
- symmetry = No. 127
- formation energy from the elements (eV per atom) = -0.790


Here is a relaxed structure of DyBe2Pd3 from Alexandria via LeMat-Bulk. Energies are from PBE.

Geometry as extended XYZ:
```
18
Lattice="-0.556 1.025 -3.683 -0.199 -8.745 -2.405 -7.673 4.237 2.339" Properties=species:S:1:pos:R:3 pbc="T T T"
Dy -0.278 0.513 -1.841
Dy -2.690 -4.418 -0.823
Dy -5.182 -0.091 0.758
Be -1.836 -5.871 -3.383
Be -1.746 -1.898 -2.291
Be -5.323 -3.946 -2.320
Be -6.592 2.388 -0.365
Be -6.682 -1.585 -1.458
Be -3.105 0.463 -1.428
Pd -4.214 -1.741 -1.874
Pd -4.115 2.631 -0.672
Pd -0.378 -3.860 -3.044
Pd -5.561 -3.185 -0.046
Pd -2.252 1.244 0.687
Pd -0.058 -2.567 -0.706
Pd -2.311 -1.323 -0.019
Pd -5.421 2.993 1.652
Pd -0.141 -6.178 -1.699
```

Properties
- symmetry = No. 191
- formation energy from the elements (eV per atom) = -0.582


Here is a relaxed structure of DyBe3Pd10 from Alexandria via LeMat-Bulk. Energies are from PBE.

Geometry as extended XYZ:
```
28
Lattice="-6.057 0.999 -5.720 -5.804 -5.968 -1.050 -7.907 1.359 2.456" Properties=species:S:1:pos:R:3 pbc="T T T"
Dy -4.942 -0.902 -1.079
Dy -14.826 -2.707 -3.236
Be -10.787 -3.251 -4.265
Be -11.748 0.097 -2.663
Be -11.632 -3.086 -0.529
Be -8.981 -0.359 -0.049
Be -8.135 -0.524 -3.785
Be -8.020 -3.707 -1.651
Pd -2.666 0.458 0.828
Pd -1.957 -2.012 -0.354
Pd -2.042 0.337 -1.928
Pd -5.972 -1.350 -4.146
Pd -7.566 -1.382 -1.651
Pd -9.361 -2.697 0.020
Pd -10.288 -4.181 -2.144
Pd -6.681 1.120 -2.963
Pd -11.275 -0.744 -0.499
Pd -10.407 -0.913 -4.334
Pd -8.493 -2.866 -3.815
Pd -5.241 0.901 1.628
Pd -5.889 -3.619 -2.625
Pd -6.513 -3.497 0.132
Pd -7.198 -1.111 1.274
Pd -4.015 0.662 -3.791
Pd -12.202 -2.228 -2.663
Pd -3.847 -3.956 -0.696
Pd -9.480 0.571 -2.170
Pd -7.283 1.238 -0.300
```

Properties
- symmetry = No. 225
- formation energy from the elements (eV per atom) = -0.509


Here is a relaxed structure of Dy2Be3PdPt4 from Alexandria via LeMat-Bulk. Energies are from PBE.

Geometry as extended XYZ:
```
10
Lattice="3.946 0.000 0.000 0.000 3.946 0.000 0.000 0.000 10.456" Properties=species:S:1:pos:R:3 pbc="T T T"
Dy 1.973 0.000 2.553
Dy 0.000 1.973 7.903
Be 0.000 0.000 5.228
Be 1.973 0.000 9.236
Be 0.000 1.973 1.220
Pd 1.973 1.973 5.228
Pt 1.973 1.973 0.000
Pt 0.000 0.000 0.000
Pt 1.973 0.000 6.992
Pt 0.000 1.973 3.464
```

Properties
- symmetry = No. 115
- formation energy from the elements (eV per atom) = -0.879


Here is a relaxed structure of Dy2Be3Si4Pd from Alexandria via LeMat-Bulk. Energies are from PBE.

Geometry as extended XYZ:
```
10
Lattice="-0.628 -2.571 -2.898 -0.804 -2.786 2.646 -9.478 2.543 -0.202" Properties=species:S:1:pos:R:3 pbc="T T T"
Dy -2.621 -0.667 -1.498
Dy -7.572 0.531 1.170
Be -4.739 1.271 -0.101
Be -8.553 0.925 -1.625
Be -1.640 -1.061 1.296
Si -0.716 -2.679 -0.126
Si 0.000 0.000 0.000
Si -6.405 0.348 -1.579
Si -3.789 -0.484 1.251
Pd -5.455 -1.407 -0.227
```

Properties
- symmetry = No. 115
- formation energy (no corrections) (eV/f.u.) = -5.2


Here is a relaxed structure of SmDyBePd from Alexandria via LeMat-Bulk. Energies are from PBE.

Geometry as extended XYZ:
```
4
Lattice="4.970 0.000 0.000 2.485 4.304 0.000 2.485 1.435 4.058" Properties=species:S:1:pos:R:3 pbc="T T T"
Be 4.970 2.869 2.029
Pd 0.000 0.000 0.000
Sm 2.485 1.435 1.014
Dy 7.455 4.304 3.043
```

Properties
- symmetry = No. 216
- formation energy from the elements (eV per atom) = -0.312


Here is a relaxed structure of Dy2BeSnPd6 from Alexandria via LeMat-Bulk. Energies are from PBE.

Geometry as extended XYZ:
```
10
Lattice="-2.339 4.468 -2.993 -6.662 -3.600 -0.168 -4.340 3.158 2.361" Properties=species:S:1:pos:R:3 pbc="T T T"
Dy -5.810 3.825 -1.239
Dy -7.531 0.200 0.439
Be -4.500 0.434 -1.581
Sn 0.000 0.000 0.000
Pd -4.764 1.530 0.262
Pd -6.497 0.979 -2.196
Pd -5.280 -1.346 -0.639
Pd -8.061 5.372 -0.161
Pd -6.843 3.047 1.397
Pd -8.577 2.496 -1.062
```

Properties
- symmetry = No. 12
- formation energy from the elements (eV per atom) = -0.629


Here is a relaxed structure of DyYBePd from Alexandria via LeMat-Bulk. Energies are from PBE.

Geometry as extended XYZ:
```
4
Lattice="-3.965 -2.915 -0.115 -1.463 -2.327 4.084 -4.141 1.386 2.273" Properties=species:S:1:pos:R:3 pbc="T T T"
Y -7.176 -2.892 4.682
Be 0.000 0.000 0.000
Pd -4.784 -1.928 3.121
Dy -2.392 -0.964 1.561
```

Properties
- symmetry = No. 216
- formation energy from the elements (eV per atom) = -0.357


Calculated VASP energy, -5.004; -5.415; -4.341; -5.513; -5.188; -5.346; -5.853; -5.251; -4.872; -5.438; -5.353 eV/atom (same order as the records).
Calculated theoretical density, 8.59; 9.27; 5.97; 9.89; 9.04; 9.97; 12.64; 6.27; 8.19; 8.97; 7.22 g/cm³ (same order as the records).